Entry from the Alexandria database: a geometry-optimized Na2NiH20C12N12O18 structure (PBE with a Hubbard U).

Density   1.84 g/cm³
Volume   655.2 Å³/cell
E   -6.543 eV/atom

Lattice parameters (Å, degrees): 7.1032 10.4165 10.5286 112.43 109.69 95.47
Closest atoms and distances in Å follow each position.
Positions (direct):
Na: 0.2030 0.4022 0.4638  5 O 2.30-2.57
Na: 0.7970 0.5978 0.5362  5 O 2.30-2.57
Ni: 0.5000 0.0000 0.0000  2 O 1.94, 2 N 1.96
H: 0.1033 0.8867 0.8999  1 O 1.00
H: 0.1844 0.0870 0.2566  1 O 0.99
H: 0.2004 0.6038 0.7637  1 O 0.98
H: 0.2252 0.8426 0.0349  1 O 1.03
H: 0.2322 0.1813 0.1801  1 O 0.98
H: 0.2368 0.0146 0.5059  1 N 1.05
H: 0.2397 0.3707 0.8604  1 N 1.05
H: 0.2466 0.7002 0.6881  1 O 0.98
H: 0.3044 0.7896 0.4668  1 N 1.05
H: 0.3102 0.4380 0.1148  1 N 1.05
H: 0.6898 0.5620 0.8852  1 N 1.05
H: 0.6956 0.2104 0.5332  1 N 1.05
H: 0.7534 0.2998 0.3119  1 O 0.98
H: 0.7603 0.6293 0.1396  1 N 1.05
H: 0.7632 0.9854 0.4941  1 N 1.05
H: 0.7678 0.8187 0.8199  1 O 0.98
H: 0.7748 0.1574 0.9651  1 O 1.03
H: 0.7996 0.3962 0.2363  1 O 0.98
H: 0.8156 0.9130 0.7434  1 O 0.99
H: 0.8967 0.1133 0.1001  1 O 1.00
C: 0.2277 0.2024 0.6685  1 O 1.24, 2 N 1.38
C: 0.2387 0.8118 0.2660  1 O 1.26, 2 N 1.35-1.39
C: 0.2421 0.6110 0.0648  1 O 1.26, 2 N 1.35-1.39
C: 0.3133 0.2004 0.9118  1 O 1.25, 2 N 1.36-1.38
C: 0.3142 0.9961 0.7083  1 O 1.25, 2 N 1.36-1.38
C: 0.3175 0.6042 0.3048  1 O 1.24, 2 N 1.37
C: 0.6825 0.3958 0.6952  1 O 1.24, 2 N 1.37
C: 0.6858 0.0039 0.2917  1 O 1.25, 2 N 1.36-1.38
C: 0.6867 0.7996 0.0882  1 O 1.25, 2 N 1.36-1.38
C: 0.7579 0.3890 0.9352  1 O 1.26, 2 N 1.35-1.39
C: 0.7613 0.1882 0.7340  1 O 1.26, 2 N 1.35-1.39
C: 0.7723 0.7976 0.3315  1 O 1.24, 2 N 1.38
N: 0.2190 0.7461 0.1221  2 C 1.35
N: 0.2540 0.0652 0.6178  1 H 1.05
N: 0.2555 0.2653 0.8169  1 H 1.05
N: 0.2857 0.7393 0.3547  1 H 1.05
N: 0.2914 0.5424 0.1574  1 H 1.05
N: 0.3490 0.0684 0.8556  2 C 1.36
N: 0.6510 0.9316 0.1444  2 C 1.36
N: 0.7086 0.4576 0.8426  1 H 1.05
N: 0.7143 0.2607 0.6453  1 H 1.05
N: 0.7445 0.7347 0.1831  1 H 1.05
N: 0.7460 0.9348 0.3822  1 H 1.05
N: 0.7810 0.2539 0.8779  2 C 1.35
O: 0.1510 0.1687 0.2356  2 H 0.98-0.99
O: 0.1637 0.6076 0.6667  2 H 0.98
O: 0.1820 0.2638 0.5868  1 C 1.24
O: 0.2170 0.9372 0.3233  1 C 1.26
O: 0.2226 0.5457 0.9309  1 C 1.26
O: 0.2378 0.9100 0.9861  2 H 1.00-1.03
O: 0.3352 0.2633 0.0459  1 C 1.25
O: 0.3376 0.8715 0.6550  1 C 1.25
O: 0.3682 0.5433 0.3874  1 C 1.24
O: 0.6318 0.4567 0.6126  1 C 1.24
O: 0.6624 0.1285 0.3450  1 C 1.25
O: 0.6648 0.7367 0.9541  1 C 1.25
O: 0.7622 0.0900 0.0139  2 H 1.00-1.03
O: 0.7774 0.4543 0.0691  1 C 1.26
O: 0.7830 0.0628 0.6767  1 C 1.26
O: 0.8180 0.7362 0.4132  1 C 1.24
O: 0.8363 0.3924 0.3333  2 H 0.98
O: 0.8490 0.8313 0.7644  2 H 0.98-0.99